Version A
# PbC2, optimized geometry, DFT GGA-PBE
# DOS(E_F) (states/eV/cell): 1.10
data_PbC2
_chemical_formula_sum 'Pb1 C2'
_symmetry_space_group_name_H-M 'P 1'
_symmetry_Int_Tables_number 1
_cell_length_a 2.7494
_cell_length_b 2.7494
_cell_length_c 8.9248
_cell_angle_alpha 90.00
_cell_angle_beta 90.00
_cell_angle_gamma 120.00
loop_
_symmetry_equiv_pos_as_xyz
'x,y,z'
loop_
_atom_site_label
_atom_site_type_symbol
_atom_site_fract_x
_atom_site_fract_y
_atom_site_fract_z
_atom_site_occupancy
Pb1 Pb 0.0000 0.0000 0.0000 1
C1 C 0.3333 0.6667 0.5000 1
C2 C 0.6667 0.3333 0.5000 1



Version B
# PbC2, optimized geometry, DFT GGA-PBE
# DOS(E_F) (states/eV/cell): 2.77
data_PbC2
_chemical_formula_sum 'Pb1 C2'
_symmetry_space_group_name_H-M 'P 1'
_symmetry_Int_Tables_number 1
_cell_length_a 8.1480
_cell_length_b 8.1480
_cell_length_c 8.1480
_cell_angle_alpha 19.60
_cell_angle_beta 19.60
_cell_angle_gamma 19.60
loop_
_symmetry_equiv_pos_as_xyz
'x,y,z'
loop_
_atom_site_label
_atom_site_type_symbol
_atom_site_fract_x
_atom_site_fract_y
_atom_site_fract_z
_atom_site_occupancy
Pb1 Pb 0.0000 0.0000 0.0000 1
C1 C 0.1668 0.1668 0.1668 1
C2 C 0.5002 0.5002 0.5002 1



Preferred: version A; penalty for the next structure: 64 meV/atom.